No. 1
The following is a DFT calculation (PBE-GGA) of crystalline BaSeO at its relaxed geometry.

Lattice parameters (Å, degrees): 12.846 4.554 5.448 90.00 92.38 90.00
Atoms (fractional coordinates):
Ba (0.140, 0.000, 0.290)
Ba (0.360, 0.500, 0.710)
Ba (0.640, 0.500, 0.290)
Ba (0.860, 0.000, 0.710)
Se (0.095, 0.500, 0.818)
Se (0.405, 0.000, 0.182)
Se (0.595, 0.000, 0.818)
Se (0.905, 0.500, 0.182)
O (0.166, 0.500, 0.526)
O (0.334, 0.000, 0.474)
O (0.666, 0.000, 0.526)
O (0.834, 0.500, 0.474)

Output
The calculation puts the density at 4.85 g cm⁻³. The calculation puts the calculated total energy at -5.17 eV/atom. Its magnetic moment is 0.00 μB per cell.

No. 2
The following is a DFT calculation (PBE-GGA) of crystalline BaSe2O6 at its relaxed geometry.

Lattice parameters (Å, degrees): 4.532 7.375 10.864 108.43 93.35 93.30
Atoms (fractional coordinates):
Ba (0.194, 0.353, 0.250)
Ba (0.806, 0.647, 0.750)
Se (0.411, 0.111, 0.598)
Se (0.455, 0.750, 0.067)
Se (0.545, 0.250, 0.933)
Se (0.589, 0.889, 0.402)
O (0.259, 0.473, 0.612)
O (0.269, 0.570, 0.100)
O (0.271, 0.962, 0.191)
O (0.277, 0.315, 0.508)
O (0.303, 0.760, 0.924)
O (0.495, 0.941, 0.707)
O (0.505, 0.059, 0.293)
O (0.697, 0.240, 0.076)
O (0.723, 0.685, 0.492)
O (0.729, 0.038, 0.809)
O (0.731, 0.430, 0.900)
O (0.741, 0.527, 0.388)

Output
The calculation puts the density at 3.79 g cm⁻³. Its magnetic moment is 1.92 μB per cell. The energy above the lowest structure with this stoichiometry comes out at 11 meV per atom. The value obtained for the density of states at the Fermi level is 1.6 states/eV/f.u.

No. 3
The following is a DFT calculation (PBE-GGA) of crystalline Ba3SeO at its relaxed geometry.

Lattice parameters (Å, degrees): 5.385 5.385 5.385 90.00 90.00 90.00
Atoms (fractional coordinates):
Ba (0.000, 0.000, 0.500)
Ba (0.000, 0.500, 0.000)
Ba (0.500, 0.000, 0.000)
Se (0.500, 0.500, 0.500)
O (0.000, 0.000, 0.000)

Output
The calculation puts the density at 5.39 g cm⁻³. Its magnetic moment is 0.00 μB per cell. The energy above the lowest structure with this stoichiometry comes out at 0 meV per atom. The value obtained for the density of states at the Fermi level is 4.2 states/eV/f.u.

No. 4
The following is a DFT calculation (PBE-GGA) of crystalline Ba3SeO2 at its relaxed geometry.

Lattice parameters (Å, degrees): 7.759 7.759 6.325 90.00 90.00 96.72
Atoms (fractional coordinates):
Ba (0.101, 0.899, 0.750)
Ba (0.193, 0.399, 0.750)
Ba (0.399, 0.193, 0.250)
Ba (0.601, 0.807, 0.750)
Ba (0.807, 0.601, 0.250)
Ba (0.899, 0.101, 0.250)
Se (0.341, 0.659, 0.250)
Se (0.659, 0.341, 0.750)
O (0.160, 0.160, 0.000)
O (0.160, 0.160, 0.500)
O (0.840, 0.840, 0.000)
O (0.840, 0.840, 0.500)

Output
The calculation puts the density at 4.59 g cm⁻³. The calculation puts the calculated total energy at -5.35 eV/atom. Its magnetic moment is 0.00 μB per cell. The value obtained for the density of states at the Fermi level is 0.0 states/eV/f.u.

No. 5
The following is a DFT calculation (PBE-GGA) of crystalline Ba2SeO at its relaxed geometry.

Lattice parameters (Å, degrees): 4.182 4.182 22.869 90.00 90.00 120.00
Atoms (fractional coordinates):
Ba (0.000, 0.000, 0.000)
Ba (0.000, 0.000, 0.147)
Ba (0.333, 0.667, 0.667)
Ba (0.333, 0.667, 0.813)
Ba (0.667, 0.333, 0.333)
Ba (0.667, 0.333, 0.480)
Se (0.000, 0.000, 0.573)
Se (0.333, 0.667, 0.239)
Se (0.667, 0.333, 0.906)
O (0.000, 0.000, 0.404)
O (0.333, 0.667, 0.071)
O (0.667, 0.333, 0.738)

Output
The calculation puts the density at 5.31 g cm⁻³. Its magnetic moment is 0.00 μB per cell. The energy above the lowest structure with this stoichiometry comes out at 191 meV per atom. The value obtained for the density of states at the Fermi level is 0.0 states/eV/f.u.

No. 6
The following is a DFT calculation (PBE-GGA) of crystalline Ba2SeO at its relaxed geometry.

Lattice parameters (Å, degrees): 7.468 4.304 7.620 90.00 109.10 90.00
Atoms (fractional coordinates):
Ba (0.236, 0.000, 0.212)
Ba (0.264, 0.500, 0.788)
Ba (0.736, 0.500, 0.212)
Ba (0.764, 0.000, 0.788)
Se (0.000, 0.000, 0.500)
Se (0.500, 0.500, 0.500)
O (0.000, 0.500, 0.000)
O (0.500, 0.000, 0.000)

Output
The calculation puts the density at 5.30 g cm⁻³. Its magnetic moment is 0.00 μB per cell. The energy above the lowest structure with this stoichiometry comes out at 69 meV per atom. The value obtained for the density of states at the Fermi level is 0.0 states/eV/f.u.

What did the fifth record say?
The following is a DFT calculation (PBE-GGA) of crystalline Ba2SeO at its relaxed geometry.

Lattice parameters (Å, degrees): 4.182 4.182 22.869 90.00 90.00 120.00
Atoms (fractional coordinates):
Ba (0.000, 0.000, 0.000)
Ba (0.000, 0.000, 0.147)
Ba (0.333, 0.667, 0.667)
Ba (0.333, 0.667, 0.813)
Ba (0.667, 0.333, 0.333)
Ba (0.667, 0.333, 0.480)
Se (0.000, 0.000, 0.573)
Se (0.333, 0.667, 0.239)
Se (0.667, 0.333, 0.906)
O (0.000, 0.000, 0.404)
O (0.333, 0.667, 0.071)
O (0.667, 0.333, 0.738)

Output
The calculation puts the density at 5.31 g cm⁻³. Its magnetic moment is 0.00 μB per cell. The energy above the lowest structure with this stoichiometry comes out at 191 meV per atom. The value obtained for the density of states at the Fermi level is 0.0 states/eV/f.u.

> The lowest density belongs to which entry?

BaSe2O6